Record 1
Material: Hf3CuBi5
Method: DFT, PBE
State: relaxed

The calculation puts the total magnetic moment at 0.0 μB per formula unit. The crystal system is hexagonal. For the total energy, the calculation gives -51.957 eV per cell. The calculation puts the calculated density at 10033 kg/m³. The symmetry is P6/mmm (191).

Geometry as POSCAR:
```
Hf3CuBi5
1.0
5.9426 0.0000 0.0000
-2.9713 5.1464 0.0000
0.0000 0.0000 8.8966
Hf Bi Cu
3 5 1
Direct
0.5000 0.5000 0.5000
0.0000 0.5000 0.5000
0.5000 0.0000 0.5000
0.0000 0.0000 0.5000
0.3333 0.6667 0.7991
0.3333 0.6667 0.2009
0.6667 0.3333 0.7991
0.6667 0.3333 0.2009
0.0000 0.0000 0.0000
```


Record 2
Material: LuCdCoPb
Method: DFT, PBE
State: relaxed

The calculation puts the total magnetic moment at 0.4 μB per formula unit. The crystal system is cubic. For the total energy, the calculation gives -15.811 eV per cell. The calculation puts the calculated density at 11252 kg/m³. The symmetry is F-43m (216).

Geometry as POSCAR:
```
LuCdCoPb
1.0
2.3121 -4.2189 -0.7584
0.0978 -3.3865 3.4988
-2.5514 -4.1155 -0.5224
Lu Pb Co Cd
1 1 1 1
Direct
0.2500 0.2500 0.2500
0.0000 0.0000 0.0000
0.7500 0.7500 0.7500
0.5000 0.5000 0.5000
```